First-principles (PBE-GGA) data for crystalline Cr3GePd at its relaxed geometry, as listed in Alexandria via LeMat-Bulk.

Computed properties:
Fermi-level density of states   5.3 states/eV/f.u.
Energy relative to the elements   1264.0 meV/atom
Excess energy over the best structure of this formula in the dataset   0 meV/atom

```
data_Cr3GePd
_chemical_formula_sum 'Cr3 Ge1 Pd1'
_cell_length_a 4.7993
_cell_length_b 4.7993
_cell_length_c 4.7993
_cell_angle_alpha 90.00
_cell_angle_beta 90.00
_cell_angle_gamma 90.00
_symmetry_space_group_name_H-M 'P 1'
_symmetry_Int_Tables_number 1
loop_
_symmetry_equiv_pos_as_xyz
'x,y,z'
loop_
_atom_site_label
_atom_site_type_symbol
_atom_site_fract_x
_atom_site_fract_y
_atom_site_fract_z
Cr1 Cr 0.0000 0.5000 0.0000
Cr2 Cr 0.5000 0.0000 0.0000
Cr3 Cr 0.0000 0.0000 0.5000
Pd1 Pd 0.0000 0.0000 0.0000
Ge1 Ge 0.5000 0.5000 0.5000
```

First-principles (PBE-GGA) data for crystalline Pa2VGa3 at its relaxed geometry, as listed in Alexandria via LeMat-Bulk.

Computed properties:
Fermi-level density of states   7.5 states/eV/f.u.
Energy relative to the elements   -262.2 meV/atom

```
data_Pa2VGa3
_chemical_formula_sum 'Pa4 V2 Ga6'
_cell_length_a 5.6400
_cell_length_b 5.6400
_cell_length_c 8.3635
_cell_angle_alpha 90.00
_cell_angle_beta 90.00
_cell_angle_gamma 120.00
_symmetry_space_group_name_H-M 'P 1'
_symmetry_Int_Tables_number 1
loop_
_symmetry_equiv_pos_as_xyz
'x,y,z'
loop_
_atom_site_label
_atom_site_type_symbol
_atom_site_fract_x
_atom_site_fract_y
_atom_site_fract_z
Pa1 Pa 0.3333 0.6667 0.9172
Pa2 Pa 0.3333 0.6667 0.5828
Pa3 Pa 0.6667 0.3333 0.4172
Pa4 Pa 0.6667 0.3333 0.0828
V1 V 0.0000 0.0000 0.5000
V2 V 0.0000 0.0000 0.0000
Ga1 Ga 0.6577 0.8289 0.2500
Ga2 Ga 0.1711 0.3423 0.2500
Ga3 Ga 0.8289 0.1711 0.7500
Ga4 Ga 0.8289 0.6577 0.7500
Ga5 Ga 0.3423 0.1711 0.7500
Ga6 Ga 0.1711 0.8289 0.2500
```